VASP calculation (PBE-GGA) on a relaxed RbNpBeTe3 crystal.

## Properties
Energy relative to the elements, uncorrected in eV per atom: -0.659
Calculated density in g/cm3: 5.5
Final energy in Ry per atom: -0.3799

Lattice parameters (Å, degrees): 10.2826 4.3123 10.4417 90.00 110.52 90.00
Space group P2_1/m (No. 11)
One atom of each set of equivalent atoms:
Rb1 0.2118 0.2500 0.2417
Np1 0.3269 0.7500 0.8552
Be1 0.0823 0.2500 0.6089
Te1 0.1065 0.2500 0.8500
Te2 0.1733 0.7500 0.5312
Te3 0.4681 0.7500 0.1715

=====

VASP calculation (PBE-GGA) on a relaxed BaFe3Bi crystal.

## Properties
E_form in meV per atom: 1012
Calculated density in g/cm3: 6.5
Final energy in Ry per atom: -0.3841
Offset from the most stable computed form in meV per atom: 0

Lattice parameters (Å, degrees): 5.0724 5.0724 5.0724 90.00 90.00 90.00
Space group Pm-3m (No. 221)
One atom of each set of equivalent atoms:
Ba1 0.0000 0.0000 0.0000
Fe1 0.0000 0.5000 0.5000
Bi1 0.5000 0.5000 0.5000

=====

VASP calculation (PBE-GGA) on a relaxed La4Er3Cd crystal.

## Properties
E_form in meV per atom: -51
Calculated density in g/cm3: 7.3
Final energy in Ry per atom: -0.3190

Lattice parameters (Å, degrees): 3.7406 3.7406 18.9618 90.00 90.00 90.00
Space group P4/mmm (No. 123)
One atom of each set of equivalent atoms:
La1 0.0000 0.0000 0.1123
La2 0.0000 0.0000 0.3722
Er1 0.5000 0.5000 0.2441
Er2 0.5000 0.5000 0.5000
Cd1 0.5000 0.5000 0.0000

=====

VASP calculation (PBE-GGA) on a relaxed ScFe2Os crystal.

## Properties
E_form in meV per atom: 401
Calculated density in g/cm3: 9.1
Final energy in Ry per atom: -0.6042
Offset from the most stable computed form in meV per atom: 408

Lattice parameters (Å, degrees): 6.9888 6.9888 5.2109 90.00 90.00 90.00
Space group I-42d (No. 122)
One atom of each set of equivalent atoms:
Sc1 0.0000 0.0000 0.0000
Fe1 0.2158 0.2500 0.6250
Os1 0.0000 0.0000 0.5000

=====

VASP calculation (PBE-GGA) on a relaxed Y12Ho7Al crystal.

## Properties
E_form in meV per atom: 52
Calculated density in g/cm3: 6.0
Final energy in Ry per atom: -0.4127

Lattice parameters (Å, degrees): 13.5557 13.5557 11.7718 90.00 90.00 120.00
Space group R-3 (No. 148, hexagonal axes)
One atom of each set of equivalent atoms:
Y1 0.0001 0.2599 0.0001
Y2 0.0854 0.1723 0.7518
Ho1 0.0000 0.0000 0.0000
Ho2 0.0603 0.5303 0.1231
Al1 0.0000 0.0000 0.5000

=====

VASP calculation (PBE-GGA) on a relaxed ScCdMoS2 crystal.

## Properties
Energy relative to the elements, uncorrected in eV per atom: 0.467
Calculated density in g/cm3: 4.0
Final energy in Ry per atom: -0.3527

Lattice parameters (Å, degrees): 4.8250 4.8250 5.6567 90.00 90.00 90.00
Space group P4/mmm (No. 123)
One atom of each set of equivalent atoms:
Sc1 0.0000 0.0000 0.0000
Cd1 0.5000 0.5000 0.5000
Mo1 0.0000 0.0000 0.5000
S1 0.0000 0.5000 0.0000